[1]
DFT (PBE-GGA) results for a relaxed KZrTiBi2 crystal.

Lattice parameters (Å, degrees): 5.4742 5.1658 5.4742 90.00 90.00 90.00
With the nearest neighbours (Å) after each atom.
Element x y z (fractional)
Bi1 0.0000 0.0000 0.5000  2 Ti 2.74
Bi2 0.5000 0.0000 0.0000  2 Ti 2.74
Ti1 0.0000 0.0000 0.0000  2 K 2.58, 4 Bi 2.74
Zr1 0.5000 0.5000 0.5000  8 Bi 3.76, 4 K 3.87
K1 0.0000 0.5000 0.0000  2 Ti 2.58

Values from the calculation:
**Electronic total energy**: -0.15402 hartree per atom
**Space-group type**: P4/mmm

=====

[2]
DFT (PBE-GGA) results for a relaxed K2Tl3Bi3 crystal.

Lattice parameters (Å, degrees): 3.5624 9.7560 9.7560 120.00 90.00 90.00
With the nearest neighbours (Å) after each atom.
Element x y z (fractional)
K1 0.0000 0.3333 0.6667  3 Tl 3.55, 2 K 3.56, 6 Bi 3.80
K2 0.0000 0.6667 0.3333  3 Tl 3.55, 2 K 3.56, 6 Bi 3.80
Tl1 0.0000 0.7212 0.0000  4 Bi 3.40, 2 K 3.55, 2 Tl 3.56
Tl2 0.0000 0.2788 0.2788  4 Bi 3.40, 2 K 3.55, 2 Tl 3.56
Tl3 0.0000 0.0000 0.7212  4 Bi 3.40, 2 K 3.55, 2 Tl 3.56
Bi1 0.5000 0.0000 0.3121  4 Tl 3.40, 2 Bi 3.56, 4 K 3.80
Bi2 0.5000 0.6879 0.6879  4 Tl 3.40, 2 Bi 3.56, 4 K 3.80
Bi3 0.5000 0.3121 0.0000  4 Tl 3.40, 2 Bi 3.56, 4 K 3.80

Values from the calculation:
**Electronic total energy**: -0.09942 hartree per atom
**Space-group type**: P-62m

=====

[3]
DFT (PBE-GGA) results for a relaxed KTl10Bi2 crystal.

Lattice parameters (Å, degrees): 6.4529 8.8128 8.9186 82.39 68.79 68.52
With the nearest neighbours (Å) after each atom.
Element x y z (fractional)
Bi1 0.5000 0.5000 0.0000  2 Bi 3.23, 8 Tl 3.34-3.59
Bi2 0.0000 0.5000 0.0000  2 Bi 3.23, 8 Tl 3.34-3.59
Tl1 0.4978 0.2102 0.7941  2 Bi 3.34, 6 Tl 3.40-3.67
Tl2 0.3581 0.6428 0.6411  5 Tl 3.31-3.67, 2 Bi 3.59
Tl3 0.5000 0.0000 0.5000  10 Tl 3.23-3.54
Tl4 0.5022 0.7898 0.2059  2 Bi 3.34, 6 Tl 3.40-3.67
Tl5 0.2919 0.2102 0.2059  2 Bi 3.34, 6 Tl 3.40-3.67
Tl6 0.9991 0.6428 0.3589  5 Tl 3.31-3.67, 2 Bi 3.59
Tl7 0.7081 0.7898 0.7941  2 Bi 3.34, 6 Tl 3.40-3.67
Tl8 0.6419 0.3572 0.3589  5 Tl 3.31-3.67, 2 Bi 3.59
Tl9 0.0000 0.0000 0.5000  10 Tl 3.23-3.54
Tl10 0.0009 0.3572 0.6411  5 Tl 3.31-3.67, 2 Bi 3.59
K1 0.0000 0.0000 0.0000  16 Tl 4.04-4.46, 4 Bi 4.41

Values from the calculation:
**Electronic total energy**: -0.09287 hartree per atom
**Space-group type**: Fmmm

=====

[4]
DFT (PBE-GGA) results for a relaxed K2TlBi crystal.

Lattice parameters (Å, degrees): 5.3735 5.2490 5.2490 90.00 90.00 90.00
With the nearest neighbours (Å) after each atom.
Element x y z (fractional)
K1 0.0000 0.5000 0.0000  4 K 3.71, 4 Tl 3.76, 4 Bi 3.76
K2 0.0000 0.0000 0.5000  4 K 3.71, 4 Tl 3.76, 4 Bi 3.76
Tl1 0.5000 0.0000 0.0000  4 Bi 3.71, 8 K 3.76
Bi1 0.5000 0.5000 0.5000  4 Tl 3.71, 8 K 3.76

Values from the calculation:
**Electronic total energy**: -0.08329 hartree per atom
**Space-group type**: P4/mmm

=====

[5]
DFT (PBE-GGA) results for a relaxed KTlBi2 crystal.

Lattice parameters (Å, degrees): 5.5747 7.5593 7.7889 90.00 90.00 111.64
With the nearest neighbours (Å) after each atom.
Element x y z (fractional)
Bi1 0.6070 0.2140 0.4491  2 Bi 3.10-3.11
Bi2 0.6070 0.2140 0.0509  2 Bi 3.10-3.11
Bi3 0.3930 0.7860 0.9491  2 Bi 3.10-3.11
Bi4 0.3930 0.7860 0.5509  2 Bi 3.10-3.11
K1 0.0701 0.1402 0.7500  8 Bi 3.68-4.05, 1 Tl 3.88
K2 0.9299 0.8598 0.2500  8 Bi 3.68-4.05, 1 Tl 3.88
Tl1 0.2058 0.4115 0.2500  6 Bi 3.48-3.52, 1 K 3.88
Tl2 0.7942 0.5885 0.7500  6 Bi 3.48-3.52, 1 K 3.88

Values from the calculation:
**ΔE to the lowest computed polymorph**: 0.0 meV/atom
**Space-group type**: Cmcm

=====

[6]
DFT (PBE-GGA) results for a relaxed K3Tl8Bi3 crystal.

Lattice parameters (Å, degrees): 5.3241 10.0196 10.0196 78.58 74.59 74.59
With the nearest neighbours (Å) after each atom.
Element x y z (fractional)
Tl1 0.3548 0.3643 0.9261  3 Tl 3.29-3.30, 3 Bi 3.44-3.49
Tl2 0.6452 0.0739 0.6357  3 Tl 3.29-3.30, 3 Bi 3.44-3.49
Tl3 0.6452 0.6357 0.0739  3 Tl 3.29-3.30, 3 Bi 3.44-3.49
Tl4 0.1429 0.2290 0.4853  1 Bi 3.25, 4 Tl 3.25-3.30
Tl5 0.3548 0.9261 0.3643  3 Tl 3.29-3.30, 3 Bi 3.44-3.49
Tl6 0.1429 0.4853 0.2290  1 Bi 3.25, 4 Tl 3.25-3.30
Tl7 0.8571 0.5147 0.7710  1 Bi 3.25, 4 Tl 3.25-3.30
Tl8 0.8571 0.7710 0.5147  1 Bi 3.25, 4 Tl 3.25-3.30
Bi1 0.0000 0.8245 0.1755  6 Tl 3.25-3.44, 2 Bi 3.47
Bi2 0.0000 0.1755 0.8245  6 Tl 3.25-3.44, 2 Bi 3.47
Bi3 0.5000 0.0000 0.0000  4 Bi 3.47, 4 Tl 3.49
K1 0.2019 0.7981 0.7981  4 Bi 3.69-3.97, 8 Tl 3.85-3.94
K2 0.5000 0.5000 0.5000  12 Tl 3.75-4.15
K3 0.7981 0.2019 0.2019  4 Bi 3.69-3.97, 8 Tl 3.85-3.94

Values from the calculation:
**Electronic total energy**: -0.09317 hartree per atom
**Space-group type**: Immm

=====

[7]
DFT (PBE-GGA) results for a relaxed K2TlBi crystal.

Lattice parameters (Å, degrees): 6.5861 7.0703 7.0703 98.47 90.00 90.00
With the nearest neighbours (Å) after each atom.
Element x y z (fractional)
K1 0.7500 0.6684 0.0196  4 Bi 3.71-3.81, 3 K 3.76-4.05, 4 Tl 4.04-4.11
K2 0.7500 0.0196 0.6684  4 Bi 3.71-3.81, 3 K 3.76-4.05, 4 Tl 4.04-4.11
K3 0.2500 0.9804 0.3316  4 Bi 3.71-3.81, 3 K 3.76-4.05, 4 Tl 4.04-4.11
K4 0.2500 0.3316 0.9804  4 Bi 3.71-3.81, 3 K 3.76-4.05, 4 Tl 4.04-4.11
Tl1 0.0000 0.5000 0.5000  2 Tl 3.29, 2 Bi 3.30
Tl2 0.5000 0.5000 0.5000  2 Tl 3.29, 2 Bi 3.30
Bi1 0.7500 0.1897 0.1897  2 Tl 3.30
Bi2 0.2500 0.8103 0.8103  2 Tl 3.30

Values from the calculation:
**Electronic total energy**: -0.08567 hartree per atom
**Space-group type**: Cmcm

=====

[8]
DFT (PBE-GGA) results for a relaxed KTl12Bi4 crystal.

Lattice parameters (Å, degrees): 9.4699 9.4699 9.4699 109.47 109.47 109.47
With the nearest neighbours (Å) after each atom.
Element x y z (fractional)
Tl1 0.3541 0.4984 0.1443  2 Tl 3.16-3.19, 2 Bi 3.18
Tl2 0.7902 0.1443 0.6459  2 Tl 3.16-3.19, 2 Bi 3.18
Tl3 0.4984 0.1443 0.3541  2 Tl 3.16-3.19, 2 Bi 3.18
Tl4 0.6459 0.7902 0.1443  2 Tl 3.16-3.19, 2 Bi 3.18
Tl5 0.2098 0.8557 0.3541  2 Tl 3.16-3.19, 2 Bi 3.18
Tl6 0.8557 0.6459 0.5016  2 Tl 3.16-3.19, 2 Bi 3.18
Tl7 0.8557 0.3541 0.2098  2 Tl 3.16-3.19, 2 Bi 3.18
Tl8 0.3541 0.2098 0.8557  2 Tl 3.16-3.19, 2 Bi 3.18
Tl9 0.1443 0.3541 0.4984  2 Tl 3.16-3.19, 2 Bi 3.18
Tl10 0.1443 0.6459 0.7902  2 Tl 3.16-3.19, 2 Bi 3.18
Tl11 0.6459 0.5016 0.8557  2 Tl 3.16-3.19, 2 Bi 3.18
Tl12 0.5016 0.8557 0.6459  2 Tl 3.16-3.19, 2 Bi 3.18
Bi1 0.0000 0.0000 0.5000  6 Tl 3.18
Bi2 0.5000 0.0000 0.0000  6 Tl 3.18
Bi3 0.0000 0.5000 0.0000  6 Tl 3.18
Bi4 0.5000 0.5000 0.5000  6 Tl 3.18
K1 0.0000 0.0000 0.0000  12 Tl 4.18

Values from the calculation:
**Electronic total energy**: -0.09513 hartree per atom
**Space-group type**: Im-3

=====

[9]
DFT (PBE-GGA) results for a relaxed KTl6Bi crystal.

Lattice parameters (Å, degrees): 4.9476 4.9476 11.9375 90.00 90.00 90.00
With the nearest neighbours (Å) after each atom.
Element x y z (fractional)
Bi1 0.0000 0.0000 0.5000  8 Tl 3.30
Tl1 0.0000 0.5000 0.3168  6 Tl 3.30-3.50, 2 Bi 3.30
Tl2 0.5000 0.5000 0.8658  5 Tl 3.20-3.30
Tl3 0.5000 0.0000 0.6832  6 Tl 3.30-3.50, 2 Bi 3.30
Tl4 0.5000 0.0000 0.3168  6 Tl 3.30-3.50, 2 Bi 3.30
Tl5 0.5000 0.5000 0.1342  5 Tl 3.20-3.30
Tl6 0.0000 0.5000 0.6832  6 Tl 3.30-3.50, 2 Bi 3.30
K1 0.0000 0.0000 0.0000  8 Tl 3.85

Values from the calculation:
**ΔE to the lowest computed polymorph**: 64.8 meV/atom
**Space-group type**: P4/mmm

=====

[10]
DFT (PBE-GGA) results for a relaxed KTl4Bi2 crystal.

Lattice parameters (Å, degrees): 5.0682 5.1438 10.0868 104.77 90.00 90.00
With the nearest neighbours (Å) after each atom.
Element x y z (fractional)
Bi1 0.5000 0.5791 0.1583  1 Bi 3.09, 4 Tl 3.28-3.29
Bi2 0.5000 0.4209 0.8417  1 Bi 3.09, 4 Tl 3.28-3.29
Tl1 0.5000 0.8158 0.6315  2 Bi 3.29, 8 Tl 3.59-3.63
Tl2 0.0000 0.6856 0.3712  2 Bi 3.28, 8 Tl 3.59-3.61
Tl3 0.5000 0.1842 0.3685  2 Bi 3.29, 8 Tl 3.59-3.63
Tl4 0.0000 0.3144 0.6288  2 Bi 3.28, 8 Tl 3.59-3.61
K1 0.0000 0.0000 0.0000  8 Bi 3.93, 4 Tl 4.40

Values from the calculation:
**ΔE to the lowest computed polymorph**: 0.0 meV/atom
**Space-group type**: Cmmm

=====

[11]
DFT (PBE-GGA) results for a relaxed KTl3Bi3 crystal.

Lattice parameters (Å, degrees): 8.6634 8.6634 8.6634 90.00 90.00 90.00
With the nearest neighbours (Å) after each atom.
Element x y z (fractional)
Tl1 0.7500 0.0000 0.5000  4 Bi 3.06
Tl2 0.5000 0.2500 0.0000  4 Bi 3.06
Tl3 0.5000 0.7500 0.0000  4 Bi 3.06
Tl4 0.0000 0.5000 0.2500  4 Bi 3.06
Tl5 0.2500 0.0000 0.5000  4 Bi 3.06
Tl6 0.0000 0.5000 0.7500  4 Bi 3.06
Bi1 0.7500 0.5000 0.0000  4 Tl 3.06
Bi2 0.5000 0.0000 0.2500  4 Tl 3.06
Bi3 0.2500 0.5000 0.0000  4 Tl 3.06
Bi4 0.0000 0.7500 0.5000  4 Tl 3.06
Bi5 0.5000 0.0000 0.7500  4 Tl 3.06
Bi6 0.0000 0.2500 0.5000  4 Tl 3.06
K1 0.0000 0.0000 0.0000  12 Tl 4.84, 12 Bi 4.84
K2 0.5000 0.5000 0.5000  12 Bi 4.84, 12 Tl 4.84

Values from the calculation:
**Electronic total energy**: -0.10073 hartree per atom
**Space-group type**: Pm-3n

=====

[12]
DFT (PBE-GGA) results for a relaxed K2TlBi crystal.

Lattice parameters (Å, degrees): 5.6777 6.9973 9.6124 73.71 72.82 66.06
With the nearest neighbours (Å) after each atom.
Element x y z (fractional)
Tl1 0.1373 0.6582 0.0672  3 Bi 3.20-3.52, 3 K 3.44-3.54
Tl2 0.4958 0.0226 0.9858  3 Bi 3.20-3.53, 3 K 3.44-3.56
K1 0.8182 0.8384 0.5253  4 Bi 3.81, 5 K 3.95-4.27
K2 0.4460 0.4269 0.6810  1 Tl 3.44, 2 Bi 3.67-3.83
K3 0.1919 0.2484 0.3679  1 Tl 3.44, 2 Bi 3.68-3.81
K4 0.8169 0.3452 0.0210  4 Tl 3.54-3.56, 2 Bi 3.56
Bi1 0.5138 0.6832 0.2892  3 Tl 3.20-3.52, 1 K 3.56
Bi2 0.1223 0.9936 0.7617  3 Tl 3.20-3.53, 1 K 3.56

Values from the calculation:
**Electronic total energy**: -0.08715 hartree per atom
**Space-group type**: Cm